Run A
Here is crystalline TaFe2HRu at its relaxed geometry from the Alexandria database. Energies are from PBE.

Cell: 3.7193 3.7193 3.9879 Å, 90.00 90.00 90.00°
Space group P4/mmm (No. 123)
One atom of each set of equivalent atoms:
Ta 0.0000 0.0000 0.0000 (multiplicity 1)
Fe 0.0000 0.5000 0.5000 (multiplicity 2)
H 0.0000 0.0000 0.5000 (multiplicity 1)
Ru 0.5000 0.5000 0.0000 (multiplicity 1)

Values from the calculation:
**N(E_F)**: 0.93 states/eV per atom
**Calculated volume**: 55.2 Å³ per cell
**Magnetic moment**: 2.1 μB/cell

Run B
Here is crystalline TaFe2HRu at its relaxed geometry from the Alexandria database. Energies are from PBE.

Cell: 3.7694 3.7694 3.8548 Å, 90.00 90.00 90.00°
Space group P4/mmm (No. 123)
One atom of each set of equivalent atoms:
Ta 0.0000 0.0000 0.0000 (multiplicity 1)
Fe 0.0000 0.5000 0.5000 (multiplicity 2)
H 0.5000 0.5000 0.5000 (multiplicity 1)
Ru 0.5000 0.5000 0.0000 (multiplicity 1)

Values from the calculation:
**N(E_F)**: 0.96 states/eV per atom
**Calculated volume**: 54.8 Å³ per cell
**Magnetic moment**: 1.8 μB/cell

Most stable one: run B, least stable one: run A.

Run A
Here is crystalline Ta2FeHRu at its relaxed geometry from the Alexandria database. Energies are from PBE.

Cell: 4.2269 4.2269 3.5882 Å, 90.00 90.00 90.00°
Space group P4/mmm (No. 123)
One atom of each set of equivalent atoms:
Ta 0.0000 0.5000 0.0000 (multiplicity 2)
Fe 0.0000 0.0000 0.5000 (multiplicity 1)
H 0.5000 0.5000 0.0000 (multiplicity 1)
Ru 0.5000 0.5000 0.5000 (multiplicity 1)

Values from the calculation:
**N(E_F)**: 0.75 states/eV per atom
**Calculated volume**: 64.1 Å³ per cell
**Magnetic moment**: 1.2 μB/cell

Run B
Here is crystalline Ta2FeHRu at its relaxed geometry from the Alexandria database. Energies are from PBE.

Cell: 4.2312 4.2312 3.4925 Å, 90.00 90.00 90.00°
Space group P4/mmm (No. 123)
One atom of each set of equivalent atoms:
Ta 0.0000 0.5000 0.0000 (multiplicity 2)
Fe 0.0000 0.0000 0.5000 (multiplicity 1)
H 0.0000 0.0000 0.0000 (multiplicity 1)
Ru 0.5000 0.5000 0.5000 (multiplicity 1)

Values from the calculation:
**N(E_F)**: 0.70 states/eV per atom
**Calculated volume**: 62.5 Å³ per cell
**Magnetic moment**: 0.0 μB/cell

Most stable one: run B, least stable one: run A.

Run A
Here is crystalline TiFe2HRu at its relaxed geometry from the Alexandria database. Energies are from PBE.

Cell: 3.6719 3.6719 4.0864 Å, 90.00 90.00 90.00°
Space group P4/mmm (No. 123)
One atom of each set of equivalent atoms:
Ti 0.0000 0.0000 0.0000 (multiplicity 1)
Fe 0.0000 0.5000 0.5000 (multiplicity 2)
H 0.5000 0.5000 0.5000 (multiplicity 1)
Ru 0.5000 0.5000 0.0000 (multiplicity 1)

Values from the calculation:
**N(E_F)**: 0.88 states/eV per atom
**Calculated volume**: 55.1 Å³ per cell
**Magnetic moment**: 4.6 μB/cell

Run B
Here is crystalline TiFe2HRu at its relaxed geometry from the Alexandria database. Energies are from PBE.

Cell: 3.6242 3.6242 4.1813 Å, 90.00 90.00 90.00°
Space group P4/mmm (No. 123)
One atom of each set of equivalent atoms:
Ti 0.0000 0.0000 0.0000 (multiplicity 1)
Fe 0.0000 0.5000 0.5000 (multiplicity 2)
H 0.0000 0.0000 0.5000 (multiplicity 1)
Ru 0.5000 0.5000 0.0000 (multiplicity 1)

Values from the calculation:
**N(E_F)**: 0.94 states/eV per atom
**Calculated volume**: 54.9 Å³ per cell
**Magnetic moment**: 4.7 μB/cell

Most stable one: run B, least stable one: run A.

Run A
Here is crystalline TiFeHRu2 at its relaxed geometry from the Alexandria database. Energies are from PBE.

Cell: 3.9663 3.9663 3.6254 Å, 90.00 90.00 90.00°
Space group P4/mmm (No. 123)
One atom of each set of equivalent atoms:
Ti 0.0000 0.0000 0.0000 (multiplicity 1)
Fe 0.5000 0.5000 0.0000 (multiplicity 1)
H 0.5000 0.5000 0.5000 (multiplicity 1)
Ru 0.0000 0.5000 0.5000 (multiplicity 2)

Values from the calculation:
**N(E_F)**: 1.23 states/eV per atom
**Calculated volume**: 57.0 Å³ per cell
**Magnetic moment**: 2.3 μB/cell

Run B
Here is crystalline TiFeHRu2 at its relaxed geometry from the Alexandria database. Energies are from PBE.

Cell: 3.8698 3.8698 3.8395 Å, 90.00 90.00 90.00°
Space group P4/mmm (No. 123)
One atom of each set of equivalent atoms:
Ti 0.0000 0.0000 0.0000 (multiplicity 1)
Fe 0.5000 0.5000 0.0000 (multiplicity 1)
H 0.0000 0.0000 0.5000 (multiplicity 1)
Ru 0.0000 0.5000 0.5000 (multiplicity 2)

Values from the calculation:
**N(E_F)**: 1.04 states/eV per atom
**Calculated volume**: 57.5 Å³ per cell
**Magnetic moment**: 2.1 μB/cell

Most stable one: run A, least stable one: run B.

Run A
Here is crystalline VFeHRu2 at its relaxed geometry from the Alexandria database. Energies are from PBE.

Cell: 3.7932 3.7932 3.7392 Å, 90.00 90.00 90.00°
Space group P4/mmm (No. 123)
One atom of each set of equivalent atoms:
V 0.0000 0.0000 0.0000 (multiplicity 1)
Fe 0.5000 0.5000 0.0000 (multiplicity 1)
H 0.0000 0.0000 0.5000 (multiplicity 1)
Ru 0.0000 0.5000 0.5000 (multiplicity 2)

Values from the calculation:
**N(E_F)**: 0.87 states/eV per atom
**Calculated volume**: 53.8 Å³ per cell
**Magnetic moment**: 1.4 μB/cell

Run B
Here is crystalline VFeHRu2 at its relaxed geometry from the Alexandria database. Energies are from PBE.

Cell: 3.8599 3.8599 3.6585 Å, 90.00 90.00 90.00°
Space group P4/mmm (No. 123)
One atom of each set of equivalent atoms:
V 0.0000 0.0000 0.0000 (multiplicity 1)
Fe 0.5000 0.5000 0.0000 (multiplicity 1)
H 0.5000 0.5000 0.5000 (multiplicity 1)
Ru 0.0000 0.5000 0.5000 (multiplicity 2)

Values from the calculation:
**N(E_F)**: 0.80 states/eV per atom
**Calculated volume**: 54.5 Å³ per cell
**Magnetic moment**: 1.4 μB/cell

Most stable one: run B, least stable one: run A.

Run A
Here is crystalline Fe2HRuW at its relaxed geometry from the Alexandria database. Energies are from PBE.

Cell: 3.7356 3.7356 3.7592 Å, 90.00 90.00 90.00°
Space group P4/mmm (No. 123)
One atom of each set of equivalent atoms:
Fe 0.0000 0.5000 0.0000 (multiplicity 2)
H 0.0000 0.0000 0.0000 (multiplicity 1)
Ru 0.0000 0.0000 0.5000 (multiplicity 1)
W 0.5000 0.5000 0.5000 (multiplicity 1)

Values from the calculation:
**N(E_F)**: 0.79 states/eV per atom
**Calculated volume**: 52.5 Å³ per cell
**Magnetic moment**: 0.0 μB/cell

Run B
Here is crystalline Fe2HRuW at its relaxed geometry from the Alexandria database. Energies are from PBE.

Cell: 4.5178 4.5178 3.0404 Å, 90.00 90.00 90.00°
Space group P4/mmm (No. 123)
One atom of each set of equivalent atoms:
Fe 0.0000 0.5000 0.0000 (multiplicity 2)
H 0.0000 0.0000 0.5000 (multiplicity 1)
Ru 0.0000 0.0000 0.0000 (multiplicity 1)
W 0.5000 0.5000 0.5000 (multiplicity 1)

Values from the calculation:
**N(E_F)**: 1.34 states/eV per atom
**Calculated volume**: 62.1 Å³ per cell
**Magnetic moment**: 0.0 μB/cell

Run C
Here is crystalline Fe2HRuW at its relaxed geometry from the Alexandria database. Energies are from PBE.

Cell: 3.6971 3.6971 3.8616 Å, 90.00 90.00 90.00°
Space group P4/mmm (No. 123)
One atom of each set of equivalent atoms:
Fe 0.0000 0.5000 0.0000 (multiplicity 2)
H 0.0000 0.0000 0.0000 (multiplicity 1)
Ru 0.5000 0.5000 0.5000 (multiplicity 1)
W 0.0000 0.0000 0.5000 (multiplicity 1)

Values from the calculation:
**N(E_F)**: 0.83 states/eV per atom
**Calculated volume**: 52.8 Å³ per cell
**Magnetic moment**: 0.0 μB/cell

Most stable one: run A, least stable one: run B.